(1)
DFT (PBE-GGA) results for an optimized crystal structure of KSr2Os.

The structure in POSCAR format:
```
KSr2Os
1.0
8.7127 0.0000 0.0000
0.0000 8.7127 0.0000
0.0000 0.0000 12.3081
K Sr Os
4 8 4
direct
0.0000 0.0000 0.0000
0.0000 0.5000 0.2500
0.5000 0.0000 0.7500
0.5000 0.5000 0.5000
0.0019 0.2500 0.6250
0.2500 0.5019 0.8750
0.2500 0.9981 0.3750
0.4981 0.2500 0.1250
0.5019 0.7500 0.1250
0.7500 0.0019 0.3750
0.7500 0.4981 0.8750
0.9981 0.7500 0.6250
0.0000 0.0000 0.5000
0.0000 0.5000 0.7500
0.5000 0.0000 0.2500
0.5000 0.5000 0.0000
```

Calculated values
- Total energy: -3.00 eV/atom
- Distance to the lowest polymorph of the same formula: 0.2622 eV per atom
- Space-group type: I-42d, No. 122
- Formation enthalpy at 0 K: 89 kJ/mol of atoms
- Spin magnetization: 0.000 μB per atom
- Theoretical density: 2.88 g cm⁻³
- Fermi-level density of states: 12.46 states/eV per cell

(2)
DFT (PBE-GGA) results for an optimized crystal structure of KSrOs2.

The structure in POSCAR format:
```
KSrOs2
1.0
2.8053 0.0000 0.0000
0.0000 2.8053 0.0000
0.0000 0.0000 10.6429
K Sr Os
1 1 2
direct
0.0000 0.0000 0.0000
0.0000 0.0000 0.5000
0.5000 0.5000 0.2637
0.5000 0.5000 0.7363
```

Calculated values
- Total energy: -4.97 eV/atom
- Distance to the lowest polymorph of the same formula: 0.9216 eV per atom
- Space-group type: P4/mmm, No. 123
- Formation enthalpy at 0 K: 129 kJ/mol of atoms
- Spin magnetization: 0.149 μB per atom
- Theoretical density: 10.06 g cm⁻³
- Fermi-level density of states: 5.37 states/eV per cell

(3)
DFT (PBE-GGA) results for an optimized crystal structure of KSrOs2.

The structure in POSCAR format:
```
KSrOs2
1.0
3.5479 0.0000 0.0000
0.0000 4.2428 0.0000
0.0000 0.0000 10.6632
K Sr Os
2 2 4
direct
0.0000 0.0000 0.0000
0.5000 0.5000 0.5000
0.0000 0.0000 0.5000
0.5000 0.5000 0.0000
0.0000 0.5000 0.2491
0.0000 0.5000 0.7509
0.5000 0.0000 0.2509
0.5000 0.0000 0.7491
```

Calculated values
- Total energy: -4.98 eV/atom
- Distance to the lowest polymorph of the same formula: 0.9100 eV per atom
- Space-group type: Immm, No. 71
- Formation enthalpy at 0 K: 128 kJ/mol of atoms
- Spin magnetization: 0.000 μB per atom
- Theoretical density: 10.49 g cm⁻³
- Fermi-level density of states: 6.04 states/eV per cell

(4)
DFT (PBE-GGA) results for an optimized crystal structure of K2SrOs.

The structure in POSCAR format:
```
K2SrOs
1.0
5.2523 0.0000 0.0000
0.0000 6.0314 0.0000
0.0000 0.0000 8.5487
K Sr Os
4 2 2
direct
0.0000 0.0000 0.0000
0.0000 0.5000 0.2271
0.5000 0.0000 0.7271
0.5000 0.5000 0.5000
0.0000 0.0000 0.4536
0.5000 0.5000 0.9536
0.0000 0.5000 0.7597
0.5000 0.0000 0.2597
```

Calculated values
- Total energy: -2.66 eV/atom
- Distance to the lowest polymorph of the same formula: 0.2566 eV per atom
- Space-group type: Imm2, No. 44
- Formation enthalpy at 0 K: 107 kJ/mol of atoms
- Spin magnetization: 0.341 μB per atom
- Theoretical density: 4.37 g cm⁻³
- Fermi-level density of states: 9.08 states/eV per cell

(5)
DFT (PBE-GGA) results for an optimized crystal structure of KSrOs2.

The structure in POSCAR format:
```
KSrOs2
1.0
7.2128 0.0000 0.0000
0.0000 4.1621 0.0000
-2.1910 0.0000 9.1653
K Sr Os
2 2 4
direct
0.0000 0.0000 0.0000
0.5000 0.5000 0.0000
0.3380 0.5000 0.4711
0.8380 0.0000 0.4711
0.0742 0.5000 0.6991
0.2505 0.0000 0.7307
0.5742 0.0000 0.6991
0.7505 0.5000 0.7307
```

Calculated values
- Total energy: -5.89 eV/atom
- Distance to the lowest polymorph of the same formula: 0.0000 eV per atom
- Space-group type: Cm, No. 8
- Formation enthalpy at 0 K: 40 kJ/mol of atoms
- Spin magnetization: 0.000 μB per atom
- Theoretical density: 6.12 g cm⁻³
- Fermi-level density of states: 4.40 states/eV per cell

(6)
DFT (PBE-GGA) results for an optimized crystal structure of KSrOs2.

The structure in POSCAR format:
```
KSrOs2
1.0
4.1471 0.0000 0.0000
0.0000 5.4822 0.0000
0.0000 0.0000 9.3852
K Sr Os
2 2 4
direct
0.0000 0.0000 0.0000
0.5000 0.5000 0.5000
0.0000 0.5000 0.2021
0.5000 0.0000 0.7021
0.0000 0.0000 0.4030
0.0000 0.5000 0.7852
0.5000 0.0000 0.2852
0.5000 0.5000 0.9030
```

Calculated values
- Total energy: -5.52 eV/atom
- Distance to the lowest polymorph of the same formula: 0.3754 eV per atom
- Space-group type: Imm2, No. 44
- Formation enthalpy at 0 K: 76 kJ/mol of atoms
- Spin magnetization: 0.000 μB per atom
- Theoretical density: 7.89 g cm⁻³
- Fermi-level density of states: 8.54 states/eV per cell

(7)
DFT (PBE-GGA) results for an optimized crystal structure of KSrOs.

The structure in POSCAR format:
```
KSrOs
1.0
5.4866 0.0000 0.0000
-2.7433 4.7516 0.0000
0.0000 0.0000 2.8367
K Sr Os
1 1 1
direct
0.0000 0.0000 0.0000
0.3333 0.6667 0.9948
0.6667 0.3333 0.4962
```

Calculated values
- Total energy: -3.55 eV/atom
- Distance to the lowest polymorph of the same formula: 0.0541 eV per atom
- Space-group type: P3m1, No. 156
- Formation enthalpy at 0 K: 108 kJ/mol of atoms
- Spin magnetization: 0.000 μB per atom
- Theoretical density: 7.12 g cm⁻³
- Fermi-level density of states: 1.53 states/eV per cell

(8)
DFT (PBE-GGA) results for an optimized crystal structure of KSr3Os.

The structure in POSCAR format:
```
KSr3Os
1.0
6.0391 0.0000 0.0000
0.0000 6.0391 0.0000
0.0000 0.0000 6.0391
K Sr Os
1 3 1
direct
0.0000 0.0000 0.0000
0.0000 0.5000 0.5000
0.5000 0.0000 0.5000
0.5000 0.5000 0.0000
0.5000 0.5000 0.5000
```

Calculated values
- Total energy: -3.08 eV/atom
- Distance to the lowest polymorph of the same formula: 0.0000 eV per atom
- Space-group type: Pm-3m, No. 221
- Formation enthalpy at 0 K: 38 kJ/mol of atoms
- Spin magnetization: 0.000 μB per atom
- Theoretical density: 3.71 g cm⁻³
- Fermi-level density of states: 5.77 states/eV per cell

(9)
DFT (PBE-GGA) results for an optimized crystal structure of KSrOs2.

The structure in POSCAR format:
```
KSrOs2
1.0
3.8986 0.0000 0.0000
0.0000 3.8986 0.0000
0.0000 0.0000 5.3181
K Sr Os
1 1 2
direct
0.0000 0.0000 0.0000
0.5000 0.5000 0.0000
0.0000 0.5000 0.5000
0.5000 0.0000 0.5000
```

Calculated values
- Total energy: -4.99 eV/atom
- Distance to the lowest polymorph of the same formula: 0.9002 eV per atom
- Space-group type: P4/mmm, No. 123
- Formation enthalpy at 0 K: 127 kJ/mol of atoms
- Spin magnetization: 0.000 μB per atom
- Theoretical density: 10.42 g cm⁻³
- Fermi-level density of states: 3.51 states/eV per cell

(10)
DFT (PBE-GGA) results for an optimized crystal structure of K2SrOs.

The structure in POSCAR format:
```
K2SrOs
1.0
10.8643 0.0000 0.0000
0.0000 3.2144 0.0000
-2.7123 0.0000 9.6480
K Sr Os
4 2 2
direct
0.0000 0.0000 0.0000
0.1531 0.0000 0.6107
0.5000 0.5000 0.0000
0.6531 0.5000 0.6107
0.3216 0.0000 0.3052
0.8216 0.5000 0.3052
0.0888 0.5000 0.3053
0.5888 0.0000 0.3053
```

Calculated values
- Total energy: -2.86 eV/atom
- Distance to the lowest polymorph of the same formula: 0.0629 eV per atom
- Space-group type: Cm, No. 8
- Formation enthalpy at 0 K: 89 kJ/mol of atoms
- Spin magnetization: 0.081 μB per atom
- Theoretical density: 3.51 g cm⁻³
- Fermi-level density of states: 5.30 states/eV per cell

(11)
DFT (PBE-GGA) results for an optimized crystal structure of KSrOs.

The structure in POSCAR format:
```
KSrOs
1.0
2.9070 0.0000 0.0000
0.0000 4.3127 0.0000
0.0000 0.0000 15.6287
K Sr Os
2 2 2
direct
0.0000 0.0000 0.0000
0.5000 0.5000 0.5000
0.0000 0.0000 0.2438
0.5000 0.5000 0.7438
0.0000 0.0000 0.6397
0.5000 0.5000 0.1397
```

Calculated values
- Total energy: -3.60 eV/atom
- Distance to the lowest polymorph of the same formula: 0.0000 eV per atom
- Space-group type: Imm2, No. 44
- Formation enthalpy at 0 K: 103 kJ/mol of atoms
- Spin magnetization: 0.000 μB per atom
- Theoretical density: 5.37 g cm⁻³
- Fermi-level density of states: 3.78 states/eV per cell

(12)
DFT (PBE-GGA) results for an optimized crystal structure of KSr2Os.

The structure in POSCAR format:
```
KSr2Os
1.0
3.5542 0.0000 0.0000
0.0000 5.1161 0.0000
0.0000 0.0000 17.9449
K Sr Os
2 4 2
direct
0.0000 0.0000 0.0000
0.5000 0.5000 0.5000
0.0000 0.0000 0.3069
0.0000 0.5000 0.1570
0.5000 0.0000 0.6570
0.5000 0.5000 0.8069
0.0000 0.5000 0.6727
0.5000 0.0000 0.1727
```

Calculated values
- Total energy: -3.23 eV/atom
- Distance to the lowest polymorph of the same formula: 0.0281 eV per atom
- Space-group type: Imm2, No. 44
- Formation enthalpy at 0 K: 67 kJ/mol of atoms
- Spin magnetization: 0.065 μB per atom
- Theoretical density: 4.12 g cm⁻³
- Fermi-level density of states: 8.76 states/eV per cell

(13)
DFT (PBE-GGA) results for an optimized crystal structure of K2SrTiOs.

The structure in POSCAR format:
```
K2SrTiOs
1.0
6.4455 0.0000 0.0000
0.0000 6.4455 0.0000
0.0000 0.0000 4.5374
K Sr Ti Os
2 1 1 1
direct
0.0000 0.5000 0.0000
0.5000 0.0000 0.0000
0.0000 0.0000 0.5000
0.5000 0.5000 0.0000
0.5000 0.5000 0.5000
```

Calculated values
- Total energy: -3.62 eV/atom
- Space-group type: P4/mmm, No. 123
- Formation enthalpy at 0 K: 95 kJ/mol of atoms
- Spin magnetization: 0.000 μB per atom
- Theoretical density: 3.56 g cm⁻³
- Fermi-level density of states: 4.29 states/eV per cell

(14)
DFT (PBE-GGA) results for an optimized crystal structure of KTaOs2.

The structure in POSCAR format:
```
KTaOs2
1.0
8.4645 0.0000 0.0000
0.0000 2.9910 0.0000
-0.8600 0.0000 7.4127
K Ta Os
2 2 4
direct
0.0000 0.0000 0.0000
0.5000 0.5000 0.0000
0.0000 0.5000 0.5000
0.5000 0.0000 0.5000
0.2272 0.0000 0.6477
0.2728 0.5000 0.3523
0.7272 0.5000 0.6477
0.7728 0.0000 0.3523
```

Calculated values
- Total energy: -8.03 eV/atom
- Distance to the lowest polymorph of the same formula: 0.2083 eV per atom
- Space-group type: C2/m, No. 12
- Formation enthalpy at 0 K: 79 kJ/mol of atoms
- Spin magnetization: 0.000 μB per atom
- Theoretical density: 10.63 g cm⁻³
- Fermi-level density of states: 7.14 states/eV per cell

(15)
DFT (PBE-GGA) results for an optimized crystal structure of K3TaOs.

The structure in POSCAR format:
```
K3TaOs
1.0
6.5168 0.0000 0.0000
0.0000 6.5168 0.0000
0.0000 0.0000 6.5168
K Ta Os
3 1 1
direct
0.0000 0.0000 0.5000
0.0000 0.5000 0.0000
0.5000 0.0000 0.0000
0.0000 0.0000 0.0000
0.5000 0.5000 0.5000
```

Calculated values
- Total energy: -2.66 eV/atom
- Distance to the lowest polymorph of the same formula: 0.1584 eV per atom
- Space-group type: Pm-3m, No. 221
- Formation enthalpy at 0 K: 252 kJ/mol of atoms
- Spin magnetization: 1.563 μB per atom
- Theoretical density: 2.93 g cm⁻³
- Fermi-level density of states: 17.34 states/eV per cell

(16)
DFT (PBE-GGA) results for an optimized crystal structure of KTa3Os.

The structure in POSCAR format:
```
KTa3Os
1.0
4.5140 0.0000 0.0000
0.0000 4.5140 0.0000
0.0000 0.0000 4.5140
K Ta Os
1 3 1
direct
0.0000 0.0000 0.0000
0.0000 0.0000 0.5000
0.0000 0.5000 0.0000
0.5000 0.0000 0.0000
0.5000 0.5000 0.5000
```

Calculated values
- Total energy: -6.48 eV/atom
- Distance to the lowest polymorph of the same formula: 1.7854 eV per atom
- Space-group type: Pm-3m, No. 221
- Formation enthalpy at 0 K: 299 kJ/mol of atoms
- Spin magnetization: 0.000 μB per atom
- Theoretical density: 13.94 g cm⁻³
- Fermi-level density of states: 3.47 states/eV per cell

(17)
DFT (PBE-GGA) results for an optimized crystal structure of KTaOs2.

The structure in POSCAR format:
```
KTaOs2
1.0
2.8897 0.0000 0.0000
0.0000 4.8687 0.0000
0.0000 0.0000 4.8827
K Ta Os
1 1 2
direct
0.0000 0.0000 0.0000
0.5000 0.5000 0.0000
0.0000 0.5000 0.5000
0.5000 0.0000 0.5000
```

Calculated values
- Total energy: -7.35 eV/atom
- Distance to the lowest polymorph of the same formula: 0.8868 eV per atom
- Space-group type: Pmmm, No. 47
- Formation enthalpy at 0 K: 145 kJ/mol of atoms
- Spin magnetization: 0.000 μB per atom
- Theoretical density: 14.52 g cm⁻³
- Fermi-level density of states: 3.80 states/eV per cell

(18)
DFT (PBE-GGA) results for an optimized crystal structure of KTaOs2.

The structure in POSCAR format:
```
KTaOs2
1.0
3.0589 0.0000 0.0000
0.0000 3.0589 0.0000
0.0000 0.0000 8.6691
K Ta Os
1 1 2
direct
0.0000 0.0000 0.0000
0.0000 0.0000 0.5000
0.5000 0.5000 0.3158
0.5000 0.5000 0.6842
```

Calculated values
- Total energy: -8.23 eV/atom
- Distance to the lowest polymorph of the same formula: 0.0096 eV per atom
- Space-group type: P4/mmm, No. 123
- Formation enthalpy at 0 K: 60 kJ/mol of atoms
- Spin magnetization: 0.000 μB per atom
- Theoretical density: 12.29 g cm⁻³
- Fermi-level density of states: 3.94 states/eV per cell

(19)
DFT (PBE-GGA) results for an optimized crystal structure of KTaOs2.

The structure in POSCAR format:
```
KTaOs2
1.0
9.6072 0.0000 0.0000
0.0000 3.0329 0.0000
-1.0904 0.0000 6.5108
K Ta Os
2 2 4
direct
0.0000 0.0000 0.0000
0.5000 0.5000 0.0000
0.2974 0.5000 0.3793
0.7974 0.0000 0.3793
0.0054 0.5000 0.5328
0.2224 0.0000 0.6410
0.5054 0.0000 0.5328
0.7224 0.5000 0.6410
```

Calculated values
- Total energy: -7.97 eV/atom
- Distance to the lowest polymorph of the same formula: 0.2712 eV per atom
- Space-group type: Cm, No. 8
- Formation enthalpy at 0 K: 85 kJ/mol of atoms
- Spin magnetization: 0.000 μB per atom
- Theoretical density: 10.51 g cm⁻³
- Fermi-level density of states: 6.98 states/eV per cell

(20)
DFT (PBE-GGA) results for an optimized crystal structure of KTaOs2.

The structure in POSCAR format:
```
KTaOs2
1.0
2.9993 0.0000 0.0000
0.0000 5.1825 0.0000
0.0000 0.0000 9.5439
K Ta Os
2 2 4
direct
0.0000 0.0000 0.0000
0.5000 0.5000 0.5000
0.0000 0.0000 0.5000
0.5000 0.5000 0.0000
0.0000 0.5000 0.2211
0.0000 0.5000 0.7789
0.5000 0.0000 0.2789
0.5000 0.0000 0.7211
```

Calculated values
- Total energy: -7.67 eV/atom
- Distance to the lowest polymorph of the same formula: 0.5712 eV per atom
- Space-group type: Immm, No. 71
- Formation enthalpy at 0 K: 114 kJ/mol of atoms
- Spin magnetization: 0.058 μB per atom
- Theoretical density: 13.44 g cm⁻³
- Fermi-level density of states: 5.22 states/eV per cell